# 1
# Zr2CrTc3 (PBE-GGA, optimized geometry)
data_Zr2CrTc3
_symmetry_space_group_name_H-M 'C 1 2/m 1'
_symmetry_Int_Tables_number 12
_cell_length_a 8.7314
_cell_length_b 5.3282
_cell_length_c 5.1316
_cell_angle_alpha 90.00
_cell_angle_beta 122.62
_cell_angle_gamma 90.00
loop_
_symmetry_equiv_pos_as_xyz
'x,y,z'
'-x,-y,-z'
'-x,y,-z'
'x,-y,z'
'x+1/2,y+1/2,z'
'-x+1/2,-y+1/2,-z'
'-x+1/2,y+1/2,-z'
'x+1/2,-y+1/2,z'
loop_
_atom_site_label
_atom_site_type_symbol
_atom_site_fract_x
_atom_site_fract_y
_atom_site_fract_z
_atom_site_occupancy
Zr1 Zr 0.1263 0.0000 0.3737 1
Cr1 Cr 0.0000 0.5000 0.0000 1
Tc1 Tc 0.0000 0.5000 0.5000 1
Tc2 Tc 0.2500 0.2500 0.0000 1
# - magnetic moment (Bohr magnetons per cell) = 0.0
# - total DFT energy (no corrections) (eV/atom) = -9.897
# - energy of formation (eV/atom) = -0.2610

# 2
# Zr2CrTc (PBE-GGA, optimized geometry)
data_Zr2CrTc
_symmetry_space_group_name_H-M 'F -4 3 m'
_symmetry_Int_Tables_number 216
_symmetry_space_group_name_Hall 'F -4 2 3'
_cell_length_a 6.4911
_cell_length_b 6.4911
_cell_length_c 6.4911
_cell_angle_alpha 90.00
_cell_angle_beta 90.00
_cell_angle_gamma 90.00
loop_
_atom_site_label
_atom_site_type_symbol
_atom_site_fract_x
_atom_site_fract_y
_atom_site_fract_z
_atom_site_occupancy
Zr1 Zr 0.0000 0.0000 0.0000 1
Zr2 Zr 0.2500 0.2500 0.2500 1
Cr1 Cr 0.0000 0.0000 0.5000 1
Tc1 Tc 0.2500 0.2500 0.7500 1
# - magnetic moment (Bohr magnetons per cell) = 0.0
# - total DFT energy (no corrections) (eV/atom) = -9.150
# - energy of formation (eV/atom) = 0.1216

# 3
# Zr2CrTc (PBE-GGA, optimized geometry)
data_Zr2CrTc
_symmetry_space_group_name_H-M 'P m m 2'
_symmetry_Int_Tables_number 25
_cell_length_a 3.1389
_cell_length_b 4.3295
_cell_length_c 5.4222
_cell_angle_alpha 90.00
_cell_angle_beta 90.00
_cell_angle_gamma 90.00
loop_
_symmetry_equiv_pos_as_xyz
'x,y,z'
'-x,-y,z'
'-x,y,z'
'x,-y,z'
loop_
_atom_site_label
_atom_site_type_symbol
_atom_site_fract_x
_atom_site_fract_y
_atom_site_fract_z
_atom_site_occupancy
Zr1 Zr 0.0000 0.0000 0.0000 1
Zr2 Zr 0.5000 0.5000 0.3248 1
Cr1 Cr 0.0000 0.0000 0.5265 1
Tc1 Tc 0.5000 0.5000 0.8093 1
# - magnetic moment (Bohr magnetons per cell) = 2.0
# - total DFT energy (no corrections) (eV/atom) = -9.025
# - energy of formation (eV/atom) = 0.2467

# 4
# Zr2CrTc (PBE-GGA, optimized geometry)
data_Zr2CrTc
_symmetry_space_group_name_H-M 'R -3 m'
_symmetry_Int_Tables_number 166
_symmetry_space_group_name_Hall '-R 3 2"'
_cell_length_a 3.1612
_cell_length_b 3.1612
_cell_length_c 25.6577
_cell_angle_alpha 90.00
_cell_angle_beta 90.00
_cell_angle_gamma 120.00
loop_
_atom_site_label
_atom_site_type_symbol
_atom_site_fract_x
_atom_site_fract_y
_atom_site_fract_z
_atom_site_occupancy
Zr1 Zr 0.0000 0.0000 0.2479 1
Cr1 Cr 0.0000 0.0000 0.0000 1
Tc1 Tc 0.0000 0.0000 0.5000 1
# - magnetic moment (Bohr magnetons per cell) = 6.7
# - total DFT energy (no corrections) (eV/atom) = -9.018
# - energy of formation (eV/atom) = 0.2536

# 5
# Zr2CrTc (PBE-GGA, optimized geometry)
data_Zr2CrTc
_symmetry_space_group_name_H-M 'I -4 m 2'
_symmetry_Int_Tables_number 119
_symmetry_space_group_name_Hall 'I -4 -2'
_cell_length_a 3.8561
_cell_length_b 3.8561
_cell_length_c 9.7483
_cell_angle_alpha 90.00
_cell_angle_beta 90.00
_cell_angle_gamma 90.00
loop_
_atom_site_label
_atom_site_type_symbol
_atom_site_fract_x
_atom_site_fract_y
_atom_site_fract_z
_atom_site_occupancy
Zr1 Zr 0.0000 0.0000 0.0000 1
Zr2 Zr 0.0000 0.5000 0.2500 1
Cr1 Cr 0.0000 0.5000 0.7500 1
Tc1 Tc 0.0000 0.0000 0.5000 1
# - magnetic moment (Bohr magnetons per cell) = 3.8
# - total DFT energy (no corrections) (eV/atom) = -9.128
# - energy of formation (eV/atom) = 0.1437

# 6
# Zr2CrTc (PBE-GGA, optimized geometry)
data_Zr2CrTc
_symmetry_space_group_name_H-M 'P 4 m m'
_symmetry_Int_Tables_number 99
_cell_length_a 3.0180
_cell_length_b 3.0180
_cell_length_c 7.9174
_cell_angle_alpha 90.00
_cell_angle_beta 90.00
_cell_angle_gamma 90.00
loop_
_symmetry_equiv_pos_as_xyz
'x,y,z'
'-y,x,z'
'-x,-y,z'
'y,-x,z'
'-x,y,z'
'y,x,z'
'x,-y,z'
'-y,-x,z'
loop_
_atom_site_label
_atom_site_type_symbol
_atom_site_fract_x
_atom_site_fract_y
_atom_site_fract_z
_atom_site_occupancy
Zr1 Zr 0.0000 0.0000 0.0000 1
Zr2 Zr 0.5000 0.5000 0.3385 1
Cr1 Cr 0.0000 0.0000 0.5822 1
Tc1 Tc 0.5000 0.5000 0.7462 1
# - magnetic moment (Bohr magnetons per cell) = 0.0
# - total DFT energy (no corrections) (eV/atom) = -9.283
# - energy of formation (eV/atom) = -0.0111